[1]
Ce3Tm3ScS8: optimized geometry, GGA-PBE.

Properties
Formation energy from raw total energies ... -2.017 eV/atom

Cell and atoms, written as CIF:
```
data_Ce3Tm3ScS8
_chemical_formula_sum 'Ce9 Tm9 Sc3 S24'
_cell_length_a 7.7640
_cell_length_b 7.7640
_cell_length_c 19.5211
_cell_angle_alpha 90.00
_cell_angle_beta 90.00
_cell_angle_gamma 120.00
_symmetry_space_group_name_H-M 'R -3 m'
_symmetry_Int_Tables_number 166
_symmetry_space_group_name_Hall '-R 3 2"'
loop_
_atom_site_label
_atom_site_type_symbol
_atom_site_fract_x
_atom_site_fract_y
_atom_site_fract_z
Ce1 Ce 0.0000 0.5000 0.0000
Tm1 Tm 0.0000 0.5000 0.5000
Sc1 Sc 0.0000 0.0000 0.5000
S1 S 0.0000 0.0000 0.2442
S2 S 0.0045 0.5023 0.2433
```


[2]
Er2Al4CdPt3: optimized geometry, GGA-PBE.

Properties
Formation enthalpy at 0 K ... -903 meV per atom

Cell and atoms, written as CIF:
```
data_Er2Al4CdPt3
_chemical_formula_sum 'Er2 Al4 Cd1 Pt3'
_cell_length_a 4.185
_cell_length_b 4.185
_cell_length_c 10.883
_cell_angle_alpha 90.00
_cell_angle_beta 90.00
_cell_angle_gamma 90.00
_symmetry_space_group_name_H-M 'P -4 m 2'
_symmetry_Int_Tables_number 115
_symmetry_space_group_name_Hall 'P -4 -2'
loop_
_atom_site_label
_atom_site_type_symbol
_atom_site_fract_x
_atom_site_fract_y
_atom_site_fract_z
Er1 Er 0.000 0.500 0.236
Al1 Al 0.000 0.000 0.000
Al2 Al 0.000 0.500 0.644
Al3 Al 0.500 0.500 0.000
Cd1 Cd 0.000 0.000 0.500
Pt1 Pt 0.000 0.500 0.868
Pt2 Pt 0.500 0.500 0.500
```


[3]
Pr6InSe4: optimized geometry, GGA-PBE.

Properties
Formation energy from raw total energies ... -1.431 eV/atom

Cell and atoms, written as CIF:
```
data_Pr6InSe4
_chemical_formula_sum 'Pr24 In4 Se16'
_cell_length_a 4.231
_cell_length_b 14.269
_cell_length_c 21.705
_cell_angle_alpha 90.00
_cell_angle_beta 90.00
_cell_angle_gamma 90.00
_symmetry_space_group_name_H-M 'C m c m'
_symmetry_Int_Tables_number 63
_symmetry_space_group_name_Hall '-C 2c 2'
loop_
_atom_site_label
_atom_site_type_symbol
_atom_site_fract_x
_atom_site_fract_y
_atom_site_fract_z
Pr1 Pr 0.000 0.000 0.000
Pr2 Pr 0.000 0.163 0.250
Pr3 Pr 0.000 0.272 0.584
Pr4 Pr 0.000 0.455 0.162
In1 In 0.000 0.167 0.750
Se1 Se 0.000 0.091 0.124
Se2 Se 0.000 0.362 0.040
```


[4]
Y2AlCu3: optimized geometry, GGA-PBE.

Properties
Formation enthalpy at 0 K ... -295 meV per atom
E above lowest polymorph ... 0.024 eV/atom

Cell and atoms, written as CIF:
```
data_Y2AlCu3
_chemical_formula_sum 'Y16 Al8 Cu24'
_cell_length_a 7.146
_cell_length_b 8.664
_cell_length_c 15.030
_cell_angle_alpha 90.00
_cell_angle_beta 90.00
_cell_angle_gamma 90.00
_symmetry_space_group_name_H-M 'F m m m'
_symmetry_Int_Tables_number 69
_symmetry_space_group_name_Hall '-F 2 2'
loop_
_atom_site_label
_atom_site_type_symbol
_atom_site_fract_x
_atom_site_fract_y
_atom_site_fract_z
Y1 Y 0.241 0.000 0.000
Y2 Y 0.250 0.250 0.250
Al1 Al 0.000 0.000 0.334
Cu1 Cu 0.000 0.000 0.167
Cu2 Cu 0.000 0.248 0.417
```


[5]
Pr3YGe4: optimized geometry, GGA-PBE.

Properties
Formation enthalpy at 0 K ... -687 meV per atom

Cell and atoms, written as CIF:
```
data_Pr3YGe4
_chemical_formula_sum 'Pr6 Y2 Ge8'
_cell_length_a 4.244
_cell_length_b 6.444
_cell_length_c 16.325
_cell_angle_alpha 90.00
_cell_angle_beta 90.00
_cell_angle_gamma 90.00
_symmetry_space_group_name_H-M 'I m m m'
_symmetry_Int_Tables_number 71
_symmetry_space_group_name_Hall '-I 2 2'
loop_
_atom_site_label
_atom_site_type_symbol
_atom_site_fract_x
_atom_site_fract_y
_atom_site_fract_z
Pr1 Pr 0.000 0.000 0.000
Pr2 Pr 0.000 0.500 0.196
Y1 Y 0.000 0.000 0.500
Ge1 Ge 0.000 0.307 0.371
```


[6]
HgAu2O3: optimized geometry, GGA-PBE.

Properties
Formation energy from raw total energies ... -0.041 eV/atom

Cell and atoms, written as CIF:
```
data_HgAu2O3
_chemical_formula_sum 'Hg2 Au4 O6'
_cell_length_a 6.029
_cell_length_b 6.257
_cell_length_c 6.768
_cell_angle_alpha 79.25
_cell_angle_beta 65.83
_cell_angle_gamma 73.02
_symmetry_space_group_name_H-M 'P -1'
_symmetry_Int_Tables_number 2
_symmetry_space_group_name_Hall '-P 1'
loop_
_atom_site_label
_atom_site_type_symbol
_atom_site_fract_x
_atom_site_fract_y
_atom_site_fract_z
Hg1 Hg 0.155 0.448 0.272
Au1 Au 0.333 0.849 0.495
Au2 Au 0.352 0.861 0.984
O1 O 0.027 0.777 0.733
O2 O 0.339 0.046 0.704
O3 O 0.373 0.665 0.258
```


[7]
MnBr: optimized geometry, GGA-PBE.

Properties
Formation energy from raw total energies ... 0.306 eV/atom

Cell and atoms, written as CIF:
```
data_MnBr
_chemical_formula_sum 'Mn6 Br6'
_cell_length_a 7.274
_cell_length_b 7.274
_cell_length_c 7.274
_cell_angle_alpha 90.00
_cell_angle_beta 90.00
_cell_angle_gamma 90.00
_symmetry_space_group_name_H-M 'P m -3 n'
_symmetry_Int_Tables_number 223
_symmetry_space_group_name_Hall '-P 4n 2 3'
loop_
_atom_site_label
_atom_site_type_symbol
_atom_site_fract_x
_atom_site_fract_y
_atom_site_fract_z
Mn1 Mn 0.000 0.250 0.500
Br1 Br 0.000 0.500 0.250
```


[8]
CdBi2HRh: optimized geometry, GGA-PBE.

Properties
E above lowest polymorph ... 0.502 eV/atom

Cell and atoms, written as CIF:
```
data_CdBi2HRh
_chemical_formula_sum 'Cd1 Bi2 H1 Rh1'
_cell_length_a 5.201
_cell_length_b 5.201
_cell_length_c 5.257
_cell_angle_alpha 90.00
_cell_angle_beta 90.00
_cell_angle_gamma 90.00
_symmetry_space_group_name_H-M 'P 4/m m m'
_symmetry_Int_Tables_number 123
_symmetry_space_group_name_Hall '-P 4 2'
loop_
_atom_site_label
_atom_site_type_symbol
_atom_site_fract_x
_atom_site_fract_y
_atom_site_fract_z
Cd1 Cd 0.000 0.000 0.000
Bi1 Bi 0.000 0.500 0.500
H1 H 0.500 0.500 0.000
Rh1 Rh 0.000 0.000 0.500
```


[9]
CePa: optimized geometry, GGA-PBE.

Properties
Formation enthalpy at 0 K ... 58 meV per atom
E above lowest polymorph ... 0.000 eV/atom

Cell and atoms, written as CIF:
```
data_CePa
_chemical_formula_sum 'Ce4 Pa4'
_cell_length_a 5.545
_cell_length_b 3.199
_cell_length_c 11.418
_cell_angle_alpha 90.00
_cell_angle_beta 90.01
_cell_angle_gamma 90.00
_symmetry_space_group_name_H-M 'C 1 2/m 1'
_symmetry_Int_Tables_number 12
_symmetry_space_group_name_Hall '-C 2y'
loop_
_atom_site_label
_atom_site_type_symbol
_atom_site_fract_x
_atom_site_fract_y
_atom_site_fract_z
Ce1 Ce 0.165 0.000 0.374
Pa1 Pa 0.166 0.000 0.877
```


[10]
Nd8As3Se4: optimized geometry, GGA-PBE.

Properties
Formation energy from raw total energies ... -1.601 eV/atom

Cell and atoms, written as CIF:
```
data_Nd8As3Se4
_chemical_formula_sum 'Nd16 As6 Se8'
_cell_length_a 11.937
_cell_length_b 11.960
_cell_length_c 8.452
_cell_angle_alpha 90.00
_cell_angle_beta 134.90
_cell_angle_gamma 90.00
_symmetry_space_group_name_H-M 'C 1 2/m 1'
_symmetry_Int_Tables_number 12
_symmetry_space_group_name_Hall '-C 2y'
loop_
_atom_site_label
_atom_site_type_symbol
_atom_site_fract_x
_atom_site_fract_y
_atom_site_fract_z
Nd1 Nd 0.000 0.246 0.000
Nd2 Nd 0.000 0.249 0.500
Nd3 Nd 0.244 0.000 0.995
Nd4 Nd 0.248 0.000 0.495
As1 As 0.000 0.000 0.000
As2 As 0.250 0.250 0.500
Se1 Se 0.000 0.000 0.500
Se2 Se 0.000 0.500 0.000
Se3 Se 0.250 0.250 0.000
```


[11]
NdEu2Tl: optimized geometry, GGA-PBE.

Properties
Formation enthalpy at 0 K ... -169 meV per atom
E above lowest polymorph ... 0.000 eV/atom

Cell and atoms, written as CIF:
```
data_NdEu2Tl
_chemical_formula_sum 'Nd1 Eu2 Tl1'
_cell_length_a 4.986
_cell_length_b 4.986
_cell_length_c 5.275
_cell_angle_alpha 90.00
_cell_angle_beta 90.00
_cell_angle_gamma 90.00
_symmetry_space_group_name_H-M 'P 4/m m m'
_symmetry_Int_Tables_number 123
_symmetry_space_group_name_Hall '-P 4 2'
loop_
_atom_site_label
_atom_site_type_symbol
_atom_site_fract_x
_atom_site_fract_y
_atom_site_fract_z
Nd1 Nd 0.000 0.000 0.000
Eu1 Eu 0.000 0.500 0.500
Tl1 Tl 0.500 0.500 0.000
```


[12]
CdSn6: optimized geometry, GGA-PBE.

Properties
Formation enthalpy at 0 K ... 176 meV per atom

Cell and atoms, written as CIF:
```
data_CdSn6
_chemical_formula_sum 'Cd2 Sn12'
_cell_length_a 8.148
_cell_length_b 8.148
_cell_length_c 8.148
_cell_angle_alpha 90.00
_cell_angle_beta 90.00
_cell_angle_gamma 90.00
_symmetry_space_group_name_H-M 'I m -3 m'
_symmetry_Int_Tables_number 229
_symmetry_space_group_name_Hall '-I 4 2 3'
loop_
_atom_site_label
_atom_site_type_symbol
_atom_site_fract_x
_atom_site_fract_y
_atom_site_fract_z
Cd1 Cd 0.000 0.000 0.000
Sn1 Sn 0.000 0.250 0.500
```


no.,total magnetic moment (μB/cell)
1,10.66
2,0.00
3,2.71
4,0.00
5,0.00
6,0.00
7,24.81
8,0.00
9,0.00
10,0.00
11,14.42
12,0.00